The following is a DFT calculation (GGA-PBE) of an optimized crystal structure of Eu3CdF.

**Formation energy from raw total energies**: -1.136 eV per atom

Cell: 5.2025 5.2025 5.2025 Å, 90.00 90.00 90.00°
Last column: nearest neighbours and their distance in Å.
Fractional positions:
Eu (0.0000, 0.0000, 0.5000)  2 F 2.60
F (0.0000, 0.0000, 0.0000)  6 Eu 2.60
Cd (0.5000, 0.5000, 0.5000)  12 Eu 3.68
Eu (0.5000, 0.0000, 0.0000)  2 F 2.60
Eu (0.0000, 0.5000, 0.0000)  2 F 2.60